(1)
This record from Alexandria via LeMat-Bulk describes an optimized crystal structure of AcYEr2S6. The functional is PBE.

a b c (Å): 7.388 7.388 7.388
angles (deg): 56.99 56.99 56.99
Atoms (fractional coordinates):
Ac1 0.000 0.000 0.000
Y1 0.485 0.485 0.485
Er1 0.282 0.282 0.282
Er2 0.789 0.789 0.789
S1 0.072 0.642 0.432
S2 0.181 0.569 0.892
S3 0.432 0.072 0.642
S4 0.569 0.892 0.181
S5 0.642 0.432 0.072
S6 0.892 0.181 0.569

Calculated values
E   -6.53 eV per atom
Symmetry   R3 (146)
Energy relative to the elements, uncorrected   -2.079 eV per atom

***

(2)
This record from Alexandria via LeMat-Bulk describes an optimized crystal structure of BaLiRu3. The functional is PBE.

a b c (Å): 5.101 5.101 5.101
angles (deg): 90.00 90.00 90.00
Atoms (fractional coordinates):
Ba1 0.000 0.000 0.000
Li1 0.500 0.500 0.500
Ru1 0.000 0.000 0.500
Ru2 0.000 0.500 0.000
Ru3 0.500 0.000 0.000

Calculated values
E   -3.94 eV per atom
Symmetry   Pm-3m (221)
Calculated formation energy   2.388 eV per atom
Distance to the lowest polymorph of the same formula   551 kJ/mol of formula units